a | An optimized crystal structure of TbPmMgSc. Source: Alexandria, functional PBE-GGA.

Unit cell a=5.4314 b=5.4314 c=5.4314 alpha=60.00 beta=60.00 gamma=60.00
Fractional coordinates of all 4 atoms:
Tb  0.2500  0.2500  0.2500
Mg  0.5000  0.5000  0.5000
Sc  0.0000  0.0000  0.0000
Pm  0.7500  0.7500  0.7500

b | An optimized crystal structure of TbPmMgSc. Source: Alexandria, functional PBE-GGA.

Unit cell a=3.5143 b=3.5134 c=9.8394 alpha=90.01 beta=110.82 gamma=90.01
Fractional coordinates of all 4 atoms:
Pm  0.2476  0.9300  0.8554
Tb  0.4650  0.4301  0.5724
Mg  0.0026  0.4289  0.1104
Sc  0.7152  0.9296  0.3226

Most stable: b. Least stable: a.

a | An optimized crystal structure of Pm2MgSe. Source: Alexandria, functional PBE-GGA.

Unit cell a=4.0517 b=4.0517 c=8.5858 alpha=76.35 beta=76.35 gamma=60.00
Fractional coordinates of all 4 atoms:
Pm  0.7373  0.7373  0.7880
Pm  0.2627  0.2627  0.2120
Se  0.0000  0.0000  0.0000
Mg  0.5000  0.5000  0.5000

b | An optimized crystal structure of Pm2MgSe. Source: Alexandria, functional PBE-GGA.

Unit cell a=4.0000 b=4.0000 c=8.9899 alpha=77.15 beta=77.15 gamma=60.00
Fractional coordinates of all 4 atoms:
Se  0.6673  0.6673  0.9980
Mg  0.4996  0.4996  0.5011
Pm  0.2653  0.2653  0.2042
Pm  0.0678  0.0678  0.7967

Most stable: a. Least stable: b.

a | An optimized crystal structure of PmMgSe2. Source: Alexandria, functional PBE-GGA.

Unit cell a=4.2584 b=4.2584 c=7.8951 alpha=90.00 beta=90.00 gamma=120.00
Fractional coordinates of all 4 atoms:
Mg  0.0000  0.0000  0.0016
Se  0.6667  0.3333  0.8925
Se  0.0000  0.0000  0.3304
Pm  0.6667  0.3333  0.5254

b | An optimized crystal structure of PmMgSe2. Source: Alexandria, functional PBE-GGA.

Unit cell a=3.9561 b=3.9561 c=7.3384 alpha=74.36 beta=74.36 gamma=60.00
Fractional coordinates of all 4 atoms:
Se  0.7407  0.7407  0.7779
Se  0.2593  0.2593  0.2221
Pm  0.5000  0.5000  0.5000
Mg  0.0000  0.0000  0.0000

c | An optimized crystal structure of PmMgSe2. Source: Alexandria, functional PBE-GGA.

Unit cell a=3.9634 b=3.9634 c=7.3823 alpha=74.43 beta=74.43 gamma=60.00
Fractional coordinates of all 4 atoms:
Mg  0.6679  0.6679  0.9962
Se  0.0729  0.0729  0.7813
Se  0.2591  0.2591  0.2227
Pm  0.5001  0.5001  0.4998

Most stable: c. Least stable: a.

a | An optimized crystal structure of Pm5MgSi2. Source: Alexandria, functional PBE-GGA.

Unit cell a=4.2856 b=8.8249 c=8.8249 alpha=48.87 beta=75.95 gamma=75.95
Fractional coordinates of all 8 atoms:
Si  0.1935  0.3065  0.3065
Si  0.8065  0.6935  0.6935
Pm  0.6472  0.6153  0.0904
Pm  0.3528  0.9096  0.3847
Pm  0.3528  0.3847  0.9096
Pm  0.0000  0.5000  0.5000
Pm  0.6472  0.0904  0.6153
Mg  0.0000  0.0000  0.0000

b | An optimized crystal structure of Pm5MgSi2. Source: Alexandria, functional PBE-GGA.

Unit cell a=7.7494 b=7.7494 c=9.4076 alpha=114.32 beta=114.32 gamma=90.00
Fractional coordinates of all 16 atoms:
Si  0.6169  0.1169  0.0000
Si  0.1169  0.3831  0.0000
Si  0.3831  0.8831  0.0000
Si  0.8831  0.6169  0.0000
Mg  0.7500  0.7500  0.5000
Mg  0.2500  0.2500  0.5000
Pm  0.8091  0.9601  0.2693
Pm  0.1909  0.0399  0.7307
Pm  0.9601  0.4601  0.2693
Pm  0.6909  0.1909  0.7307
Pm  0.3091  0.8091  0.2693
Pm  0.5399  0.6909  0.7307
Pm  0.5000  0.5000  0.0000
Pm  0.4601  0.3091  0.2693
Pm  0.0399  0.5399  0.7307
Pm  0.0000  0.0000  0.0000

Most stable: b. Least stable: a.

a | An optimized crystal structure of PmMg2Si2. Source: Alexandria, functional PBE-GGA.

Unit cell a=4.2465 b=4.2465 c=6.5143 alpha=70.93 beta=70.93 gamma=89.97
Fractional coordinates of all 5 atoms:
Pm  0.0000  0.0000  0.0000
Si  0.3974  0.3974  0.2050
Si  0.6026  0.6026  0.7950
Mg  0.2500  0.7500  0.5000
Mg  0.7500  0.2500  0.5000

b | An optimized crystal structure of PmMg2Si2. Source: Alexandria, functional PBE-GGA.

Unit cell a=4.2364 b=4.6048 c=11.0528 alpha=96.07 beta=90.00 gamma=90.00
Fractional coordinates of all 10 atoms:
Pm  0.7500  0.3211  0.7571
Pm  0.2500  0.6789  0.2429
Mg  0.2500  0.8487  0.8851
Mg  0.7500  0.1513  0.1149
Mg  0.7500  0.7493  0.4973
Mg  0.2500  0.2507  0.5027
Si  0.2500  0.7862  0.6494
Si  0.2500  0.3692  0.9881
Si  0.7500  0.6308  0.0119
Si  0.7500  0.2138  0.3506

Most stable: a. Least stable: b.

a | An optimized crystal structure of Pm2MgSi. Source: Alexandria, functional PBE-GGA.

Unit cell a=4.0993 b=4.9500 c=4.9500 alpha=90.00 beta=90.00 gamma=90.00
Fractional coordinates of all 4 atoms:
Pm  0.0000  0.5000  0.0000
Pm  0.0000  0.0000  0.5000
Mg  0.5000  0.5000  0.5000
Si  0.5000  0.0000  0.0000

b | An optimized crystal structure of Pm2MgSi. Source: Alexandria, functional PBE-GGA.

Unit cell a=5.2141 b=5.2141 c=5.2141 alpha=60.00 beta=60.00 gamma=60.00
Fractional coordinates of all 4 atoms:
Pm  0.2500  0.2500  0.2500
Pm  0.7500  0.7500  0.7500
Mg  0.5000  0.5000  0.5000
Si  0.0000  0.0000  0.0000

Most stable: a. Least stable: b.

a | An optimized crystal structure of Pm6Sm2Mg. Source: Alexandria, functional PBE-GGA.

Unit cell a=6.1427 b=11.6426 c=11.6425 alpha=48.20 beta=105.30 gamma=105.30
Fractional coordinates of all 18 atoms:
Pm  0.5823  0.5825  0.0819
Pm  0.7706  0.9977  0.8470
Pm  0.0823  0.0819  0.5825
Pm  0.2294  0.0023  0.1530
Pm  0.4265  0.6524  0.5028
Pm  0.4177  0.4175  0.9181
Pm  0.9177  0.9181  0.4175
Pm  0.0735  0.4972  0.3477
Pm  0.7294  0.1530  0.0023
Pm  0.9265  0.5028  0.6523
Pm  0.2706  0.8470  0.9977
Pm  0.5735  0.3476  0.4972
Sm  0.5460  0.1698  0.3305
Sm  0.4540  0.8302  0.6695
Sm  0.0460  0.3305  0.1698
Sm  0.9540  0.6695  0.8302
Mg  0.7500  0.7501  0.2499
Mg  0.2500  0.2499  0.7501

b | An optimized crystal structure of Pm6Sm2Mg. Source: Alexandria, functional PBE-GGA.

Unit cell a=3.6090 b=9.8088 c=9.8095 alpha=120.00 beta=90.00 gamma=90.00
Fractional coordinates of all 9 atoms:
Pm  0.0000  0.7054  0.7055
Pm  0.0000  0.0000  0.2945
Pm  0.5000  0.0000  0.6352
Pm  0.0000  0.2945  0.0000
Pm  0.5000  0.6353  0.0000
Pm  0.5000  0.3648  0.3648
Mg  0.5000  0.9999  0.0000
Sm  0.0000  0.6667  0.3333
Sm  0.0000  0.3334  0.6667

Most stable: b. Least stable: a.

a | An optimized crystal structure of Pm2SmMg. Source: Alexandria, functional PBE-GGA.

Unit cell a=4.9913 b=5.0125 c=5.0125 alpha=90.00 beta=90.00 gamma=90.00
Fractional coordinates of all 4 atoms:
Sm  0.5000  0.5000  0.5000
Mg  0.5000  0.0000  0.0000
Pm  0.0000  0.5000  0.0000
Pm  0.0000  0.0000  0.5000

b | An optimized crystal structure of Pm2SmMg. Source: Alexandria, functional PBE-GGA.

Unit cell a=5.6259 b=5.6259 c=5.6259 alpha=60.00 beta=60.00 gamma=60.00
Fractional coordinates of all 4 atoms:
Pm  0.7500  0.7500  0.7500
Pm  0.2500  0.2500  0.2500
Sm  0.5000  0.5000  0.5000
Mg  0.0000  0.0000  0.0000

c | An optimized crystal structure of Pm2SmMg. Source: Alexandria, functional PBE-GGA.

Unit cell a=3.5120 b=3.5120 c=12.7024 alpha=82.05 beta=82.05 gamma=60.00
Fractional coordinates of all 4 atoms:
Sm  0.5000  0.5000  0.5000
Mg  0.0000  0.0000  0.0000
Pm  0.0887  0.0887  0.7339
Pm  0.9113  0.9113  0.2661

Most stable: a. Least stable: c.

a | An optimized crystal structure of Pm2Sm3Mg. Source: Alexandria, functional PBE-GGA.

Unit cell a=3.3945 b=6.2354 c=10.2121 alpha=107.78 beta=99.57 gamma=90.00
Fractional coordinates of all 6 atoms:
Mg  0.0000  0.0000  0.0000
Sm  0.1672  0.1672  0.3344
Sm  0.8328  0.8328  0.6656
Sm  0.0000  0.5000  0.0000
Pm  0.6571  0.6571  0.3142
Pm  0.3429  0.3429  0.6858

b | An optimized crystal structure of Pm2Sm3Mg. Source: Alexandria, functional PBE-GGA.

Unit cell a=5.0473 b=5.0158 c=8.0699 alpha=108.11 beta=90.00 gamma=90.00
Fractional coordinates of all 6 atoms:
Sm  0.5000  0.1679  0.3358
Sm  0.5000  0.5000  0.0000
Sm  0.5000  0.8321  0.6642
Pm  0.0000  0.3352  0.6703
Pm  0.0000  0.6648  0.3297
Mg  0.0000  0.0000  0.0000

Most stable: b. Least stable: a.

a | An optimized crystal structure of PmSm2Mg2. Source: Alexandria, functional PBE-GGA.

Unit cell a=5.3005 b=6.0315 c=6.0315 alpha=71.98 beta=63.93 gamma=63.93
Fractional coordinates of all 5 atoms:
Mg  0.5000  0.2945  0.7055
Mg  0.5000  0.7055  0.2945
Sm  0.1947  0.3053  0.3053
Sm  0.8053  0.6947  0.6947
Pm  0.0000  0.0000  0.0000

b | An optimized crystal structure of PmSm2Mg2. Source: Alexandria, functional PBE-GGA.

Unit cell a=3.8219 b=5.5369 c=14.2506 alpha=90.00 beta=97.74 gamma=90.00
Fractional coordinates of all 10 atoms:
Sm  0.7635  0.2500  0.5256
Sm  0.0447  0.7500  0.0890
Sm  0.9553  0.2500  0.9110
Sm  0.2365  0.7500  0.4744
Mg  0.5526  0.2500  0.1054
Mg  0.6402  0.7500  0.2801
Mg  0.3598  0.2500  0.7199
Mg  0.4474  0.7500  0.8946
Pm  0.1506  0.2500  0.2994
Pm  0.8494  0.7500  0.7006

Most stable: b. Least stable: a.

a | An optimized crystal structure of PmSm2Mg. Source: Alexandria, functional PBE-GGA.

Unit cell a=5.0095 b=4.9920 c=4.9920 alpha=90.00 beta=90.00 gamma=90.00
Fractional coordinates of all 4 atoms:
Sm  0.0000  0.0000  0.5000
Sm  0.0000  0.5000  0.0000
Pm  0.5000  0.5000  0.5000
Mg  0.5000  0.0000  0.0000

b | An optimized crystal structure of PmSm2Mg. Source: Alexandria, functional PBE-GGA.

Unit cell a=3.5821 b=3.5821 c=11.6724 alpha=81.17 beta=81.17 gamma=59.97
Fractional coordinates of all 4 atoms:
Mg  0.4997  0.4997  0.5003
Sm  0.0858  0.0858  0.7426
Sm  0.2472  0.2472  0.2583
Pm  0.6673  0.6673  0.9988

c | An optimized crystal structure of PmSm2Mg. Source: Alexandria, functional PBE-GGA.

Unit cell a=5.6160 b=5.6160 c=5.6160 alpha=60.00 beta=60.00 gamma=60.00
Fractional coordinates of all 4 atoms:
Sm  0.7500  0.7500  0.7500
Sm  0.2500  0.2500  0.2500
Pm  0.0000  0.0000  0.0000
Mg  0.5000  0.5000  0.5000

d | An optimized crystal structure of PmSm2Mg. Source: Alexandria, functional PBE-GGA.

Unit cell a=3.5056 b=3.5056 c=12.6807 alpha=82.05 beta=82.05 gamma=60.00
Fractional coordinates of all 4 atoms:
Pm  0.5000  0.5000  0.5000
Mg  0.0000  0.0000  0.0000
Sm  0.9115  0.9115  0.2656
Sm  0.0885  0.0885  0.7344

Most stable: a. Least stable: d.